# 1
Computed, not measured: crystalline HfTiBO2 at its relaxed geometry at the PBE level of DFT. Values from VASP.

## Properties
Formation energy (no corrections)   359 meV/atom
Magnetic moment   0.0 μB/f.u.
SG   No. 123
Density   7.224 g cm⁻³
Crystal system   tetragonal
Electronic total energy   -6.529 eV per atom

Geometry as Quantum ESPRESSO input:
```
&SYSTEM
  ibrav = 0, nat = 5, ntyp = 4
/
ATOMIC_SPECIES
Hf 178.49 Hf.upf
Ti 47.87 Ti.upf
B 10.81 B.upf
O 16.00 O.upf
CELL_PARAMETERS angstrom
3.759 0.000 0.000
0.000 3.759 0.000
0.000 0.000 4.378
ATOMIC_POSITIONS crystal
Hf 0.000 0.000 0.000
Ti 0.500 0.500 0.000
B 0.000 0.000 0.500
O 0.000 0.500 0.500
O 0.500 0.000 0.500
```


# 2
Computed, not measured: crystalline LaPr8Tm5 at its relaxed geometry at the PBE level of DFT. Values from VASP.

## Properties
Magnetic moment   0.0 μB/f.u.
SG   No. 1
ΔE_f   2.2 eV/f.u.
Density   7.179 g cm⁻³
Crystal system   triclinic
Electronic total energy   -4.520 eV per atom

Geometry as Quantum ESPRESSO input:
```
&SYSTEM
  ibrav = 0, nat = 14, ntyp = 3
/
ATOMIC_SPECIES
La 138.91 La.upf
Pr 140.91 Pr.upf
Tm 168.93 Tm.upf
CELL_PARAMETERS angstrom
8.612 0.000 0.000
-3.868 7.712 0.000
-1.345 -4.458 7.351
ATOMIC_POSITIONS crystal
La 0.000 0.000 0.000
Pr 0.051 0.259 0.784
Pr 0.074 0.705 0.076
Pr 0.194 0.260 0.464
Pr 0.347 0.780 0.830
Pr 0.459 0.057 0.588
Pr 0.484 0.280 0.217
Pr 0.631 0.719 0.628
Pr 0.665 0.960 0.286
Tm 0.273 0.541 0.258
Tm 0.578 0.516 0.941
Tm 0.790 0.261 0.053
Tm 0.856 0.470 0.608
Tm 0.931 0.760 0.411
```


Question: Among the records above, which one has the highest density?
Answer: HfTiBO2


Question: Among the records above, which one has the lowest electronic total energy?
Answer: HfTiBO2